First-principles (GGA+U) data for BaSr3Co4O12 after structural relaxation, as listed in Alexandria via LeMat-Bulk.

a = 4.919 Å, b = 5.560 Å, c = 9.483 Å
α = 89.98°, β = 89.55°, γ = 89.97°
Atoms (fractional coordinates):
Ba: 0.000 0.000 0.000
Sr: 0.482 0.000 0.667
Sr: 0.498 0.500 0.170
Sr: 0.990 0.500 0.502
Co: 0.139 0.000 0.341
Co: 0.332 0.500 0.830
Co: 0.639 0.000 0.342
Co: 0.832 0.500 0.831
O: 0.075 0.500 0.983
O: 0.093 0.279 0.753
O: 0.093 0.722 0.753
O: 0.378 0.776 0.416
O: 0.380 0.225 0.416
O: 0.403 0.001 0.190
O: 0.575 0.723 0.908
O: 0.576 0.277 0.908
O: 0.599 0.501 0.681
O: 0.873 0.001 0.493
O: 0.889 0.774 0.267
O: 0.892 0.227 0.267

Values from the calculation:
Uncorrected energy ... -6.04 eV/atom
Magnetization ... 0.206 μB/atom